Entry 1:
Density functional theory data (GGA-PBE) for crystalline Rh2WSe at its relaxed geometry.

Lattice parameters (Å, degrees): 2.9895 2.9895 6.8463 90.00 90.00 90.00
Fractional positions:
Rh (0.0000, 0.0000, 0.0000)
Rh (0.5000, 0.5000, 0.2920)
W (0.5000, 0.5000, 0.7624)
Se (0.0000, 0.0000, 0.5148)

Calculated values
The calculation puts the raw formation energy at 0.120 eV per atom. As for the symmetry: P4mm, No. 99.

Entry 2:
Density functional theory data (GGA-PBE) for crystalline Rh2WSe at its relaxed geometry.

Lattice parameters (Å, degrees): 3.8279 5.6290 5.6290 30.45 90.00 90.00
Fractional positions:
Rh (0.0000, 0.0000, 0.0000)
Rh (0.5000, 0.3518, 0.3518)
W (0.0000, 0.7394, 0.7394)
Se (0.5000, 0.5788, 0.5788)

Calculated values
The calculation puts the raw formation energy at 0.072 eV per atom. As for the symmetry: Amm2, No. 38.

Entry 3:
Density functional theory data (GGA-PBE) for crystalline RhWSe3 at its relaxed geometry.

Lattice parameters (Å, degrees): 4.8980 4.8980 4.8980 90.00 90.00 90.00
Fractional positions:
Rh (0.0000, 0.0000, 0.0000)
W (0.5000, 0.5000, 0.5000)
Se (0.0000, 0.5000, 0.5000)
Se (0.5000, 0.0000, 0.5000)
Se (0.5000, 0.5000, 0.0000)

Calculated values
For the energy above the most stable polymorph in this dataset, the calculation gives 0 meV/atom. The calculation puts the raw formation energy at 0.800 eV per atom. As for the symmetry: Pm-3m, No. 221.